Entry from Alexandria: a relaxed Al2CrRe crystal (PBE-GGA).

a b c (Å): 3.0586 3.0586 5.8888
angles (deg): 90.00 90.00 90.00
Element x y z (fractional)
Al (0.0000, 0.0000, 0.0000)
Al (0.5000, 0.5000, 0.2746)
Cr (0.0000, 0.0000, 0.5087)
Re (0.5000, 0.5000, 0.7474)

Summary:
Total magnetic moment = 0.00 μB/cell
Space group = P4mm, No. 99
Energy of formation = -0.25 eV/atom
Mass density = 8807 kg/m3
Excess energy over the best structure of this formula in the dataset = 0.000 eV per atom
E_tot = -0.2806 Ha/atom